Entry from Alexandria via LeMat-Bulk: Tm6Ti4Al43 after structural relaxation (GGA-PBE).

extended XYZ file:
```
106
Lattice="11.0581 0.0000 0.0000 -5.5291 9.5766 0.0000 0.0000 0.0000 17.6854" Properties=species:S:1:pos:R:3 pbc="T T T"
Al 4.6669 8.0834 10.8979
Al -4.6669 8.0834 2.0552
Al 1.6324 0.0000 4.4214
Al 0.0000 4.7291 0.0000
Al -0.4109 3.7749 2.8766
Al 0.0000 4.7291 8.8427
Al 9.3339 0.0000 2.0552
Al 3.0637 2.2433 14.8088
Al 5.5291 3.1922 15.4697
Al 0.0000 6.3844 15.4697
Al -0.4109 3.7749 5.9661
Al 5.5291 4.8475 8.8427
Al 1.4033 2.4306 17.1833
Al 0.0000 6.3844 11.0584
Al 8.2516 0.0000 17.1833
Al 1.4335 7.2120 0.0000
Al -1.4033 2.4306 8.3406
Al 1.7242 0.0000 10.8979
Al 1.6476 5.7003 13.2641
Al 5.9400 5.8017 14.8088
Al 4.0956 2.3646 8.8427
Al 9.3339 0.0000 6.7875
Al 2.0544 8.0450 11.7193
Al 0.8621 1.4932 6.7875
Al -2.4654 7.3333 11.7193
Al -4.1258 7.1461 9.3449
Al -2.0544 8.0450 5.9661
Al 5.5291 3.1922 11.0584
Al -4.7129 8.1629 13.2641
Al 4.1258 7.1461 0.5021
Al 5.2977 1.4233 13.2641
Al 1.4335 7.2120 8.8427
Al 7.5835 1.5316 11.7193
Al 0.0000 6.3844 2.2157
Al -0.2313 8.1533 13.2641
Al -0.8621 1.4932 10.8979
Al 2.4653 7.3333 2.8766
Al 5.1182 5.8017 2.8766
Al 0.0000 6.3844 6.6270
Al -1.6476 5.7003 4.4214
Al 3.0637 2.2433 11.7193
Al -2.4654 7.3333 14.8088
Al -0.8621 1.4932 15.6302
Al 3.8815 3.8763 4.4214
Al 0.8621 1.4932 2.0552
Al 7.1766 3.8763 13.2641
Al 4.1128 4.2770 13.2641
Al 0.2313 8.1533 4.4214
Al -4.6669 8.0834 6.7875
Al 4.6669 8.0834 15.6302
Al 6.9626 2.3646 8.8427
Al 2.8066 0.0000 8.3406
Al -0.8162 1.4137 4.4214
Al 5.5291 4.8475 0.0000
Al -1.4033 2.4306 0.5021
Al 6.9453 4.2770 4.4214
Al 4.0956 2.3646 0.0000
Al -1.4162 5.2996 13.2641
Al 0.4109 3.7749 11.7193
Al 2.4653 7.3333 5.9661
Al 6.9626 2.3646 0.0000
Al 0.8162 1.4137 13.2641
Al 5.7604 1.4233 4.4214
Al 5.1182 5.8017 5.9661
Al 5.5291 3.1922 2.2157
Al 7.9944 2.2433 2.8766
Al 1.7242 0.0000 15.6302
Al 7.9944 2.2433 5.9661
Al 2.0544 8.0450 14.8088
Al 4.1258 7.1461 8.3406
Al 5.9400 5.8017 11.7193
Al 8.2516 0.0000 9.3449
Al 3.4746 1.5316 2.8766
Al -1.4335 7.2120 8.8427
Al 4.7129 8.1629 4.4214
Al 7.5835 1.5316 14.8088
Al 1.4162 5.2996 4.4214
Al -4.1258 7.1461 17.1833
Al -1.4335 7.2120 0.0000
Al 0.4109 3.7749 14.8088
Al 5.5291 3.1922 6.6270
Al 9.4257 0.0000 13.2641
Al 2.8066 0.0000 0.5021
Al 3.4746 1.5316 5.9661
Al -2.0544 8.0450 2.8766
Al 1.4033 2.4306 9.3449
Tm 2.6045 4.5111 1.7049
Tm 2.6045 4.5111 7.1378
Tm -2.9246 5.0655 1.7049
Tm -2.6045 4.5111 15.9805
Tm 2.9246 5.0655 15.9805
Tm 5.2090 0.0000 10.5476
Tm 5.2090 0.0000 15.9805
Tm -2.6045 4.5111 10.5476
Tm -2.9246 5.0655 7.1378
Tm 5.8492 0.0000 1.7049
Tm 5.8492 0.0000 7.1378
Tm 2.9246 5.0655 10.5476
Ti -1.5077 2.6115 13.2641
Ti 1.5077 2.6115 4.4214
Ti -4.0213 6.9652 4.4214
Ti 0.0000 0.0000 0.0000
Ti 8.0427 0.0000 4.4214
Ti 3.0155 0.0000 13.2641
Ti 0.0000 0.0000 8.8427
Ti 4.0213 6.9652 13.2641
```

Results
As for the density of states at the Fermi level: 43.51 states/eV per cell. The calculation puts the energy at -4.47 eV/atom. The calculation puts the energy relative to the elements at -17.4 eV/f.u. Its magnetic moment is 0.0 μB/cell.